1.
Li4EuLu, optimized geometry, DFT GGA-PBE; formation enthalpy at 0 K = 0.110 eV/atom; density = 3.90 g/cm³
1.0
-1.021 3.420 4.792
-4.438 -1.371 3.759
1.246 -2.067 5.466
Li Eu Lu
4 1 1
direct
0.122 0.626 0.626
0.626 0.122 0.626
0.626 0.626 0.122
0.626 0.626 0.626
0.250 0.250 0.250
0.000 0.000 0.000

=====

2.
LiEuLu, optimized geometry, DFT GGA-PBE; formation enthalpy at 0 K = 1.045 eV/atom; density = 3.88 g/cm³; energy relative to the lowest polymorph listed for this composition = 0.826 eV/atom
1.0
4.441 0.000 0.000
0.000 4.441 0.000
-2.220 -2.220 7.248
Eu Li Lu
1 1 1
direct
0.229 0.229 0.458
0.995 0.995 0.989
0.776 0.776 0.553

=====

3.
Li2EuLu, optimized geometry, DFT GGA-PBE; formation enthalpy at 0 K = 0.166 eV/atom; density = 5.12 g/cm³; energy relative to the lowest polymorph listed for this composition = 0.025 eV/atom
1.0
-1.541 4.624 2.298
-5.240 1.049 0.693
-2.121 -0.029 4.953
Li Eu Lu
2 1 1
direct
0.250 0.250 0.250
0.750 0.750 0.750
0.000 0.000 0.000
0.500 0.500 0.500

=====

4.
Li2EuLu, optimized geometry, DFT GGA-PBE; formation enthalpy at 0 K = 0.141 eV/atom; density = 5.10 g/cm³; energy relative to the lowest polymorph listed for this composition = 0.000 eV/atom
1.0
3.769 0.000 0.000
0.000 3.769 0.000
0.000 0.000 7.812
Eu Li Lu
1 2 1
direct
0.500 0.500 0.500
0.000 0.000 0.774
0.000 0.000 0.226
0.500 0.500 0.000